VASP calculation (PBE with a Hubbard U) on a relaxed FeGeN2O crystal.

Cell and atoms, written as POSCAR:
```
FeGeN2O
1.0
3.7884 0.0000 0.0000
0.0000 3.7884 0.0000
0.0000 0.0000 3.7683
Ge Fe O N
1 1 1 2
direct
0.0000 0.0000 0.0000
0.5000 0.5000 0.5000
0.0000 0.0000 0.5000
0.0000 0.5000 0.0000
0.5000 0.0000 0.0000
```

Calculated values
SG: P4/mmm
Energy: -28.4 eV per cell
D(E_F): 1.8 states/eV/cell
Volume: 54.1 Å³/cell

=====

VASP calculation (PBE with a Hubbard U) on a relaxed FeGeNO2 crystal.

Cell and atoms, written as POSCAR:
```
FeGeNO2
1.0
-1.1067 -3.1440 1.8368
2.0160 1.0696 3.0455
-3.1170 1.9107 1.3923
Ge Fe O N
1 1 2 1
direct
0.5000 0.5000 0.5000
0.0000 0.0000 0.0000
0.0000 0.5000 0.0000
0.5000 0.0000 0.0000
0.0000 0.0000 0.5000
```

Calculated values
SG: P4/mmm
Energy: -28.2 eV per cell
D(E_F): 1.5 states/eV/cell
Volume: 56.7 Å³/cell